1.
Below is a relaxed structure of Dy3Te2Rh, with properties calculated at the GGA-PBE level.

Unit cell a=4.2484 b=4.2485 c=9.6647 alpha=102.70 beta=102.70 gamma=90.00
Atoms (fractional coordinates):
Te: 0.7568 0.7581 0.5190
Te: 0.1118 0.1131 0.2289
Rh: 0.4340 0.4358 0.8739
Dy: 0.9341 0.9359 0.8740
Dy: 0.5752 0.5764 0.1556
Dy: 0.2935 0.2948 0.5923

space group: No. 139
density of states at the Fermi level: 0.598 states/eV/atom
excess energy over the best structure of this formula in the dataset: 0.0 meV per atom
total magnetization: 0.000 μB/f.u.

2.
Below is a relaxed structure of TbPrNiI, with properties calculated at the GGA-PBE level.

Unit cell a=4.0909 b=4.0908 c=8.3444 alpha=90.00 beta=104.20 gamma=120.00
Atoms (fractional coordinates):
I: 0.9625 0.3794 0.3572
Tb: 0.0912 0.9435 0.0499
Ni: 0.3086 0.5521 0.8758
Pr: 0.5157 0.1558 0.6868

space group: No. 160
density of states at the Fermi level: 0.783 states/eV/atom
total magnetization: 0.000 μB/f.u.

3.
Below is a relaxed structure of Tm8Tl2Tc, with properties calculated at the GGA-PBE level.

Unit cell a=5.3667 b=6.9501 c=9.0298 alpha=111.04 beta=107.29 gamma=90.00
Atoms (fractional coordinates):
Tm: 0.1920 0.2584 0.3841
Tm: 0.0144 0.7814 0.0287
Tm: 0.9856 0.2186 0.9713
Tm: 0.8080 0.7416 0.6159
Tm: 0.6451 0.9276 0.2902
Tm: 0.4024 0.5892 0.8049
Tm: 0.3549 0.0724 0.7098
Tm: 0.5976 0.4108 0.1951
Tc: 0.5000 0.0000 0.0000
Tl: 0.8174 0.3072 0.6349
Tl: 0.1826 0.6928 0.3651

ΔH_f (0 K): -0.16 eV/atom
space group: No. 12
density of states at the Fermi level: 0.825 states/eV/atom
total magnetization: 0.000 μB/f.u.

no.,raw total energy (eV/atom)
1,-5.6708
2,-4.8449
3,-4.7883